(1)
! PBE-GGA TaZnFeNi, optimized geometry; values from VASP
! ρ (g/cm³): 11.00
! Uncorrected energy (eV/atom): -6.6491
! Symmetry: F-43m (216)
! Energy relative to the lowest polymorph listed for this composition (meV/atom): 242
! E_form (eV per atom): 0.099
&SYSTEM
  ibrav = 0, nat = 4, ntyp = 4
/
ATOMIC_SPECIES
Ta 180.95 Ta.upf
Zn 65.41 Zn.upf
Fe 55.84 Fe.upf
Ni 58.69 Ni.upf
ATOMIC_POSITIONS crystal
Ta 0.000 0.000 0.000
Zn 0.250 0.250 0.250
Fe 0.500 0.500 0.500
Ni 0.750 0.750 0.750
CELL_PARAMETERS angstrom
0.000 3.008 3.008
3.008 0.000 3.008
3.008 3.008 0.000

=====

(2)
! PBE-GGA TaZnFeNi, optimized geometry; values from VASP
! ρ (g/cm³): 11.08
! Uncorrected energy (eV/atom): -6.6750
! Symmetry: F-43m (216)
! Energy relative to the lowest polymorph listed for this composition (meV/atom): 216
! E_form (eV per atom): 0.073
&SYSTEM
  ibrav = 0, nat = 4, ntyp = 4
/
ATOMIC_SPECIES
Ta 180.95 Ta.upf
Zn 65.41 Zn.upf
Fe 55.84 Fe.upf
Ni 58.69 Ni.upf
ATOMIC_POSITIONS crystal
Ta 0.000 0.000 0.000
Zn 0.250 0.250 0.250
Fe 0.750 0.750 0.750
Ni 0.500 0.500 0.500
CELL_PARAMETERS angstrom
0.000 3.002 3.002
3.002 0.000 3.002
3.002 3.002 0.000

=====

(3)
! PBE-GGA TaZnFeNi, optimized geometry; values from VASP
! ρ (g/cm³): 11.44
! Uncorrected energy (eV/atom): -6.8915
! Symmetry: F-43m (216)
! Energy relative to the lowest polymorph listed for this composition (meV/atom): 0
! E_form (eV per atom): -0.143
&SYSTEM
  ibrav = 0, nat = 4, ntyp = 4
/
ATOMIC_SPECIES
Ta 180.95 Ta.upf
Zn 65.41 Zn.upf
Fe 55.84 Fe.upf
Ni 58.69 Ni.upf
ATOMIC_POSITIONS crystal
Ta 0.000 0.000 0.000
Zn 0.500 0.500 0.500
Fe 0.750 0.750 0.750
Ni 0.250 0.250 0.250
CELL_PARAMETERS angstrom
0.000 2.969 2.969
2.969 0.000 2.969
2.969 2.969 0.000

=====

(4)
! PBE-GGA TbFeNi, optimized geometry; values from VASP
! ρ (g/cm³): 8.21
! Uncorrected energy (eV/atom): -5.8359
! Symmetry: F-43m (216)
! E_form (eV per atom): 0.333
&SYSTEM
  ibrav = 0, nat = 3, ntyp = 3
/
ATOMIC_SPECIES
Tb 158.93 Tb.upf
Fe 55.84 Fe.upf
Ni 58.69 Ni.upf
ATOMIC_POSITIONS crystal
Tb 0.000 0.000 0.000
Fe 0.750 0.750 0.750
Ni 0.500 0.500 0.500
CELL_PARAMETERS angstrom
0.000 3.024 3.024
3.024 0.000 3.024
3.024 3.024 0.000